# 1
# ThMnSi2Ir

A relaxed structure of ThMnSi2Ir (PBE-GGA, Alexandria via LeMat-Bulk).

Structure (extended XYZ):
```
5
Lattice="-3.035 -1.227 -2.521 2.797 -1.065 -2.849 0.354 -3.402 4.616" Properties=species:S:1:pos:R:3 pbc="T T T"
Si -0.058 -2.316 -2.188
Si 0.175 -3.378 1.434
Th 0.000 0.000 0.000
Ir 1.516 -2.807 -0.459
Mn -1.400 -2.888 -0.295
```

Results
raw formation energy = -0.84 eV per atom
crystal system = tetragonal
space-group type = I-4m2

=====

# 2
# TiMnSiIr

A relaxed structure of TiMnSiIr (PBE-GGA, Alexandria via LeMat-Bulk).

Structure (extended XYZ):
```
4
Lattice="4.185 0.000 0.000 2.093 3.624 0.000 2.093 1.208 3.417" Properties=species:S:1:pos:R:3 pbc="T T T"
Si 6.278 3.624 2.563
Ti 2.093 1.208 0.854
Ir 4.185 2.416 1.709
Mn 0.000 0.000 0.000
```

Results
raw formation energy = -0.73 eV per atom
crystal system = cubic
space-group type = F-43m

=====

# 3
# Tm2MnSi3Ir4

A relaxed structure of Tm2MnSi3Ir4 (PBE-GGA, Alexandria via LeMat-Bulk).

Structure (extended XYZ):
```
10
Lattice="4.055 0.000 0.000 0.000 4.055 0.000 0.000 0.000 10.177" Properties=species:S:1:pos:R:3 pbc="T T T"
Tm 2.028 0.000 2.513
Tm 0.000 2.028 7.664
Si 0.000 2.028 1.314
Si 0.000 0.000 5.088
Si 2.028 0.000 8.863
Ir 2.028 0.000 6.504
Ir 0.000 2.028 3.673
Ir 0.000 0.000 0.000
Ir 2.028 2.028 0.000
Mn 2.028 2.028 5.088
```

Results
raw formation energy = -0.92 eV per atom
crystal system = tetragonal
space-group type = P-4m2

=====

# 4
# U2MnSi3Ir4

A relaxed structure of U2MnSi3Ir4 (PBE-GGA, Alexandria via LeMat-Bulk).

Structure (extended XYZ):
```
10
Lattice="4.026 0.000 0.000 0.000 4.026 0.000 0.000 0.000 10.250" Properties=species:S:1:pos:R:3 pbc="T T T"
Mn 2.013 2.013 5.125
Si 0.000 2.013 1.327
Si 2.013 0.000 8.922
Si 0.000 0.000 5.125
U 2.013 0.000 2.597
U 0.000 2.013 7.652
Ir 0.000 0.000 0.000
Ir 2.013 2.013 0.000
Ir 2.013 0.000 6.572
Ir 0.000 2.013 3.678
```

Results
raw formation energy = -0.67 eV per atom
crystal system = tetragonal
space-group type = P-4m2